1.
Here is a relaxed structure of Ba2MnPdO6 from Alexandria via LeMat-Bulk. Energies are from PBE with a Hubbard U.

Cell lengths 5.8243, 5.8243, 10.1778 Å; angles 73.37, 73.37, 60.00 degrees
Last column: nearest neighbours and their distance in Å.
Atoms (fractional coordinates):
1 Ba 0.8765 0.8765 0.3705  12 O 2.85-3.09
2 Ba 0.1235 0.1235 0.6295  12 O 2.85-3.09
3 Ba 0.7114 0.7114 0.8659  12 O 2.92-3.05
4 Ba 0.2886 0.2886 0.1341  12 O 2.92-3.05
5 Mn 0.0000 0.0000 0.0000  6 O 1.98
6 Mn 0.5000 0.5000 0.5000  6 O 1.94
7 Pd 0.5907 0.5907 0.2280  6 O 2.04-2.05
8 Pd 0.4093 0.4093 0.7720  6 O 2.04-2.05
9 O 0.8411 0.3931 0.3727  1 Mn 1.94, 1 Pd 2.05
10 O 0.3931 0.8411 0.3727  1 Mn 1.94, 1 Pd 2.05
11 O 0.3931 0.3931 0.3727  1 Mn 1.94, 1 Pd 2.05
12 O 0.1589 0.6069 0.6273  1 Mn 1.94, 1 Pd 2.05
13 O 0.6069 0.1589 0.6273  1 Mn 1.94, 1 Pd 2.05
14 O 0.6069 0.6069 0.6273  1 Mn 1.94, 1 Pd 2.05
15 O 0.7273 0.1983 0.8760  1 Mn 1.98, 1 Pd 2.04
16 O 0.1983 0.7273 0.8760  1 Mn 1.98, 1 Pd 2.04
17 O 0.1983 0.1983 0.8760  1 Mn 1.98, 1 Pd 2.04
18 O 0.2727 0.8017 0.1240  1 Mn 1.98, 1 Pd 2.04
19 O 0.8017 0.2727 0.1240  1 Mn 1.98, 1 Pd 2.04
20 O 0.8017 0.8017 0.1240  1 Mn 1.98, 1 Pd 2.04

Properties
**Crystal system**: trigonal

=====

2.
Here is a relaxed structure of Ba2PmMnO6 from Alexandria via LeMat-Bulk. Energies are from PBE with a Hubbard U.

Cell lengths 5.9975, 5.9975, 5.9975 Å; angles 60.00, 60.00, 60.00 degrees
Last column: nearest neighbours and their distance in Å.
Atoms (fractional coordinates):
1 Ba 0.7500 0.7500 0.7500  12 O 3.00
2 Ba 0.2500 0.2500 0.2500  12 O 3.00
3 Pm 0.5000 0.5000 0.5000  6 O 2.30
4 Mn 0.0000 0.0000 0.0000  6 O 1.94
5 O 0.2283 0.7717 0.7717  1 Mn 1.94
6 O 0.2283 0.7717 0.2283  1 Mn 1.94
7 O 0.2283 0.2283 0.7717  1 Mn 1.94
8 O 0.7717 0.7717 0.2283  1 Mn 1.94
9 O 0.7717 0.2283 0.2283  1 Mn 1.94
10 O 0.7717 0.2283 0.7717  1 Mn 1.94

Properties
**Crystal system**: cubic

=====

Result set for total energy: -6.309; -6.940 eV per atom, one per record in the order listed.
Result set for D(E_F): 7.208; 5.656 states/eV per cell, one per record in the order listed.